The following is a DFT calculation (meta-GGA SCAN) of Zn2Te at its PBEsol-relaxed geometry.

a b c (Å): 3.708 3.708 8.962
angles (deg): 90.00 90.00 90.00
Atoms (fractional coordinates):
Zn: 0.250 0.250 0.221
Zn: 0.250 0.750 0.000
Zn: 0.750 0.250 0.000
Zn: 0.750 0.750 0.779
Te: 0.250 0.250 0.670
Te: 0.750 0.750 0.330

Calculated values
As for the relative energy among the computed polymorphs: 0.073 eV per atom. Its space group is P4/nmm. As for the total moment: 0.0 μB/cell.



The following is a DFT calculation (meta-GGA SCAN) of HfCd2TcHg at its PBEsol-relaxed geometry.

a b c (Å): 5.321 5.321 5.223
angles (deg): 90.00 90.00 90.00
Atoms (fractional coordinates):
Hf: 0.000 0.000 0.000
Cd: 0.000 0.500 0.000
Cd: 0.500 0.000 0.000
Tc: 0.500 0.500 0.500
Hg: 0.000 0.000 0.500

Calculated values
Its space group is P4/mmm. As for the total moment: 2.5 μB/cell. Its formation energy is 150 kJ per mole of atoms.



Q: What is the formula in the first record?
A: Zn2Te



Q: Look up the total moment of the first one.
A: 0.0 μB/cell



Q: Look up the total moment of the second one.
A: 2.5 μB/cell



Q: Which value of total moment does entry 1 give?
A: 0.0 μB/cell